(1)
Entry from the Alexandria database: a relaxed structure of InSn2RhAu (GGA-PBE).

```
InSn2RhAu
1.0
5.2098 0.0000 0.0000
0.0000 5.2098 0.0000
0.0000 0.0000 5.1940
In Sn Rh Au
1 2 1 1
Direct
0.0000 0.0000 0.0000
0.0000 0.5000 0.5000
0.5000 0.0000 0.5000
0.5000 0.5000 0.0000
0.5000 0.5000 0.5000
```

* SG: P4/mmm, No. 123
* ΔH_f (0 K): 604 meV/atom

(2)
Entry from the Alexandria database: a relaxed structure of ScTe2RhS (GGA-PBE).

```
ScTe2RhS
1.0
5.4876 0.0000 0.0000
0.0000 5.4876 0.0000
0.0000 0.0000 4.6713
Sc Te Rh S
1 2 1 1
Direct
0.0000 0.0000 0.0000
0.0000 0.5000 0.0000
0.5000 0.0000 0.0000
0.0000 0.0000 0.5000
0.5000 0.5000 0.5000
```

* SG: P4/mmm, No. 123
* calculated total energy: -21.01 eV per cell

(3)
Entry from the Alexandria database: a relaxed structure of Tl3TcW (GGA-PBE).

```
Tl3TcW
1.0
5.2806 0.0000 0.0000
0.0000 5.2806 0.0000
0.0000 0.0000 5.2806
Tl Tc W
3 1 1
Direct
0.0000 0.0000 0.5000
0.0000 0.5000 0.0000
0.5000 0.0000 0.0000
0.0000 0.0000 0.0000
0.5000 0.5000 0.5000
```

* SG: Pm-3m, No. 221
* ΔH_f (0 K): 1645 meV/atom

(4)
Entry from the Alexandria database: a relaxed structure of SiGeS2 (GGA-PBE).

```
SiGeS2
1.0
-3.3493 3.3493 3.4248
3.3493 -3.3493 3.4248
3.3493 3.3493 -3.4248
Si Ge S
2 2 4
Direct
0.0000 0.0000 0.0000
0.7500 0.2500 0.5000
0.2500 0.7500 0.5000
0.5000 0.5000 0.0000
0.0938 0.6250 0.9688
0.3750 0.3438 0.4688
0.6562 0.1250 0.0312
0.8750 0.9062 0.5312
```

* SG: I-42d, No. 122
* calculated total energy: -35.43 eV per cell

(5)
Entry from the Alexandria database: a relaxed structure of YHPt3 (GGA-PBE).

```
YHPt3
1.0
4.1788 0.0000 0.0000
0.0000 4.1788 0.0000
0.0000 0.0000 4.1788
Y H Pt
1 1 3
Direct
0.0000 0.0000 0.0000
0.5000 0.5000 0.5000
0.0000 0.5000 0.5000
0.5000 0.0000 0.5000
0.5000 0.5000 0.0000
```

* SG: Pm-3m, No. 221
* calculated total energy: -31.64 eV per cell

(6)
Entry from the Alexandria database: a relaxed structure of CrSbAs2 (GGA-PBE).

```
CrSbAs2
1.0
-2.0100 2.0100 5.0589
2.0100 -2.0100 5.0589
2.0100 2.0100 -5.0589
Cr Sb As
1 1 2
Direct
0.0000 0.0000 0.0000
0.2500 0.7500 0.5000
0.5000 0.5000 0.0000
0.7500 0.2500 0.5000
```

* SG: I-4m2, No. 119
* calculated total energy: -21.47 eV per cell

(7)
Entry from the Alexandria database: a relaxed structure of FePt2Au (GGA-PBE).

```
FePt2Au
1.0
4.0156 0.0000 0.0000
0.0000 4.0156 0.0000
0.0000 0.0000 3.8750
Fe Pt Au
1 2 1
Direct
0.0000 0.0000 0.0000
0.0000 0.5000 0.5000
0.5000 0.0000 0.5000
0.5000 0.5000 0.0000
```

* SG: P4/mmm, No. 123
* ΔH_f (0 K): -59 meV/atom

(8)
Entry from the Alexandria database: a relaxed structure of RbN4F (GGA-PBE).

```
RbN4F
1.0
5.9822 -2.7766 0.0000
5.9822 2.7766 0.0000
-0.2748 0.0000 4.0439
Rb N F
1 4 1
Direct
0.0000 0.0000 0.0000
0.0203 0.5451 0.6030
0.4549 0.9797 0.3970
0.5451 0.0203 0.6030
0.9797 0.4549 0.3970
0.5000 0.5000 0.5000
```

* SG: C2/m, No. 12
* calculated total energy: -39.85 eV per cell

(9)
Entry from the Alexandria database: a relaxed structure of HgSeS2 (GGA-PBE).

```
HgSeS2
1.0
1.7875 1.0320 10.2261
-1.7875 1.0320 10.2261
0.0000 -2.0640 10.2261
Hg Se S
1 1 2
Direct
0.0000 0.0000 0.0000
0.5000 0.5000 0.5000
0.1189 0.1189 0.1189
0.8811 0.8811 0.8811
```

* SG: R-3m, No. 166
* calculated total energy: -11.09 eV per cell

(10)
Entry from the Alexandria database: a relaxed structure of Hf3CuAg (GGA-PBE).

```
Hf3CuAg
1.0
4.8423 0.0000 0.0000
0.0000 4.8423 0.0000
0.0000 0.0000 4.8423
Hf Cu Ag
3 1 1
Direct
0.0000 0.0000 0.5000
0.0000 0.5000 0.0000
0.5000 0.0000 0.0000
0.0000 0.0000 0.0000
0.5000 0.5000 0.5000
```

* SG: Pm-3m, No. 221
* ΔH_f (0 K): 633 meV/atom

(11)
Entry from the Alexandria database: a relaxed structure of ScMn2Mo (GGA-PBE).

```
ScMn2Mo
1.0
0.0000 3.0778 3.0778
3.0778 0.0000 3.0778
3.0778 3.0778 0.0000
Sc Mn Mo
1 2 1
Direct
0.0000 0.0000 0.0000
0.2500 0.2500 0.2500
0.5000 0.5000 0.5000
0.7500 0.7500 0.7500
```

* SG: F-43m, No. 216
* ΔH_f (0 K): 200 meV/atom

(12)
Entry from the Alexandria database: a relaxed structure of TiH2Se2 (GGA-PBE).

```
TiH2Se2
1.0
2.6355 -4.8499 0.0000
2.6355 4.8499 0.0000
-1.3581 0.0000 7.6844
Ti H Se
2 4 4
Direct
0.1377 0.8623 0.0000
0.8623 0.1377 0.0000
0.0356 0.0356 0.1598
0.2523 0.2523 0.0040
0.7477 0.7477 0.9960
0.9644 0.9644 0.8402
0.0597 0.5638 0.2516
0.4362 0.9403 0.7484
0.5638 0.0597 0.2516
0.9403 0.4362 0.7484
```

* SG: C2/m, No. 12
* calculated total energy: -46.68 eV per cell

(13)
Entry from the Alexandria database: a relaxed structure of Bi4As2S3 (GGA-PBE).

```
Bi4As2S3
1.0
3.5913 -2.0734 0.0000
3.5913 2.0734 0.0000
-0.0209 0.0000 17.5439
Bi As S
4 2 3
Direct
0.0009 0.0009 0.3127
0.3336 0.3336 0.1049
0.6664 0.6664 0.8951
0.9991 0.9991 0.6873
0.3328 0.3328 0.8024
0.6672 0.6672 0.1976
0.0000 0.0000 0.0000
0.3344 0.3344 0.3907
0.6656 0.6656 0.6093
```

* SG: C2/m, No. 12
* calculated total energy: -38.69 eV per cell

(14)
Entry from the Alexandria database: a relaxed structure of Mg2OsRu (GGA-PBE).

```
Mg2OsRu
1.0
-2.2177 2.2177 3.1108
2.2177 -2.2177 3.1108
2.2177 2.2177 -3.1108
Mg Os Ru
2 1 1
Direct
0.0000 0.0000 0.0000
0.7500 0.2500 0.5000
0.5000 0.5000 0.0000
0.2500 0.7500 0.5000
```

* SG: I-4m2, No. 119
* ΔH_f (0 K): 143 meV/atom

(15)
Entry from the Alexandria database: a relaxed structure of RbHgCl2 (GGA-PBE).

```
RbHgCl2
1.0
2.4407 1.4091 8.5466
-2.4407 1.4091 8.5466
0.0000 -2.8183 8.5466
Rb Hg Cl
1 1 2
Direct
0.0000 0.0000 0.0000
0.5000 0.5000 0.5000
0.1163 0.1163 0.1163
0.8837 0.8837 0.8837
```

* SG: R-3m, No. 166
* calculated total energy: -7.82 eV per cell

(16)
Entry from the Alexandria database: a relaxed structure of AcLa14Ho (GGA-PBE).

```
AcLa14Ho
1.0
5.2562 -5.2634 0.0000
5.2562 5.2634 0.0000
0.0000 0.0000 10.5801
Ac La Ho
1 14 1
Direct
0.0000 0.0000 0.0000
0.0000 0.0000 0.5000
0.0000 0.5000 0.0000
0.0000 0.5000 0.5000
0.2544 0.7456 0.2508
0.2544 0.7456 0.7492
0.2545 0.2545 0.2505
0.2545 0.2545 0.7495
0.5000 0.0000 0.0000
0.5000 0.0000 0.5000
0.5000 0.5000 0.5000
0.7455 0.7455 0.2505
0.7455 0.7455 0.7495
0.7456 0.2544 0.2508
0.7456 0.2544 0.7492
0.5000 0.5000 0.0000
```

* SG: Cmmm, No. 65
* ΔH_f (0 K): 9 meV/atom

(17)
Entry from the Alexandria database: a relaxed structure of CaTcP2 (GGA-PBE).

```
CaTcP2
1.0
-2.9987 2.9987 5.5428
2.9987 -2.9987 5.5428
2.9987 2.9987 -5.5428
Ca Tc P
2 2 4
Direct
0.0000 0.0000 0.0000
0.7500 0.2500 0.5000
0.2500 0.7500 0.5000
0.5000 0.5000 0.0000
0.2117 0.6250 0.0867
0.3750 0.4617 0.5867
0.5383 0.1250 0.9133
0.8750 0.7883 0.4133
```

* SG: I-42d, No. 122
* ΔH_f (0 K): -401 meV/atom

(18)
Entry from the Alexandria database: a relaxed structure of TbPmC (GGA-PBE).

```
TbPmC
1.0
6.3085 0.0000 0.0000
0.0000 3.6318 0.0000
-2.1046 0.0000 6.4015
Tb Pm C
2 2 2
Direct
0.0126 0.2500 0.2887
0.9874 0.7500 0.7113
0.4899 0.2500 0.7196
0.5101 0.7500 0.2804
0.2434 0.7500 0.4977
0.7566 0.2500 0.5023
```

* SG: P2_1/m, No. 11
* ΔH_f (0 K): -194 meV/atom

(19)
Entry from the Alexandria database: a relaxed structure of BaLaMgFe2 (GGA-PBE).

```
BaLaMgFe2
1.0
4.8564 0.0000 0.0000
0.0000 4.8564 0.0000
0.0000 0.0000 5.4060
Ba La Mg Fe
1 1 1 2
Direct
0.0000 0.0000 0.0000
0.5000 0.5000 0.0000
0.0000 0.0000 0.5000
0.0000 0.5000 0.5000
0.5000 0.0000 0.5000
```

* SG: P4/mmm, No. 123
* ΔH_f (0 K): 1412 meV/atom

(20)
Entry from the Alexandria database: a relaxed structure of Ba3HgPb (GGA-PBE).

```
Ba3HgPb
1.0
3.0374 -12.0703 0.0000
3.0374 12.0703 0.0000
0.0000 0.0000 6.0692
Ba Hg Pb
6 2 2
Direct
0.0770 0.9230 0.7500
0.2494 0.7506 0.7500
0.4220 0.5780 0.7500
0.5780 0.4220 0.2500
0.7506 0.2494 0.2500
0.9230 0.0770 0.2500
0.3442 0.6558 0.2500
0.6558 0.3442 0.7500
0.1601 0.8399 0.2500
0.8399 0.1601 0.7500
```

* SG: Cmcm, No. 63
* ΔH_f (0 K): -473 meV/atom

(21)
Entry from the Alexandria database: a relaxed structure of LiTaBe2 (GGA-PBE).

```
LiTaBe2
1.0
2.7909 0.0000 0.0000
0.0000 2.7909 0.0000
0.0000 0.0000 6.2971
Li Ta Be
1 1 2
Direct
0.0000 0.0000 0.0000
0.0000 0.0000 0.5000
0.5000 0.5000 0.2240
0.5000 0.5000 0.7760
```

* SG: P4/mmm, No. 123
* ΔH_f (0 K): 132 meV/atom

(22)
Entry from the Alexandria database: a relaxed structure of Zn2Ag2B (GGA-PBE).

```
Zn2Ag2B
1.0
5.7188 0.0000 0.0000
0.0000 5.7188 0.0000
0.0000 0.0000 4.6642
Zn Ag B
4 4 2
Direct
0.1733 0.3267 0.0000
0.3267 0.8267 0.0000
0.6733 0.1733 0.0000
0.8267 0.6733 0.0000
0.1704 0.6704 0.5000
0.3296 0.1704 0.5000
0.6704 0.8296 0.5000
0.8296 0.3296 0.5000
0.0000 0.0000 0.0000
0.5000 0.5000 0.0000
```

* SG: P4/mbm, No. 127
* ΔH_f (0 K): 417 meV/atom

(23)
Entry from the Alexandria database: a relaxed structure of Li2SmSe2 (GGA-PBE).

```
Li2SmSe2
1.0
2.0506 1.1839 7.8461
-2.0506 1.1839 7.8461
0.0000 -2.3678 7.8461
Li Sm Se
2 1 2
Direct
0.2231 0.2231 0.2231
0.7769 0.7769 0.7769
0.0000 0.0000 0.0000
0.4116 0.4116 0.4116
0.5884 0.5884 0.5884
```

* SG: R-3m, No. 166
* calculated total energy: -22.25 eV per cell

(24)
Entry from the Alexandria database: a relaxed structure of MgZrW (GGA-PBE).

```
MgZrW
1.0
-1.7621 1.7621 4.6748
1.7621 -1.7621 4.6748
1.7621 1.7621 -4.6748
Mg Zr W
1 1 1
Direct
0.0000 0.0000 0.0000
0.6876 0.6876 0.0000
0.3363 0.3363 0.0000
```

* SG: I4mm, No. 107
* ΔH_f (0 K): 396 meV/atom

(25)
Entry from the Alexandria database: a relaxed structure of Al2CdPt3 (GGA-PBE).

```
Al2CdPt3
1.0
3.0761 0.0000 0.0000
0.0000 3.0761 0.0000
0.0000 0.0000 10.0080
Al Cd Pt
2 1 3
Direct
0.0000 0.0000 0.1580
0.0000 0.0000 0.8420
0.0000 0.0000 0.5000
0.5000 0.5000 0.0000
0.5000 0.5000 0.2967
0.5000 0.5000 0.7033
```

* SG: P4/mmm, No. 123
* ΔH_f (0 K): -816 meV/atom

(26)
Entry from the Alexandria database: a relaxed structure of Ta2MoAs (GGA-PBE).

```
Ta2MoAs
1.0
2.8695 0.0000 0.0000
0.0000 2.8695 0.0000
0.0000 0.0000 8.3471
Ta Mo As
2 1 1
Direct
0.0000 0.0000 0.2376
0.0000 0.0000 0.7624
0.5000 0.5000 0.5000
0.5000 0.5000 0.0000
```

* SG: P4/mmm, No. 123
* ΔH_f (0 K): 222 meV/atom

(27)
Entry from the Alexandria database: a relaxed structure of CuBiNF2 (GGA-PBE).

```
CuBiNF2
1.0
3.9310 0.0000 0.0000
0.0000 3.9310 0.0000
0.0000 0.0000 4.1708
Cu Bi N F
1 1 1 2
Direct
0.0000 0.0000 0.0000
0.5000 0.5000 0.5000
0.0000 0.0000 0.5000
0.0000 0.5000 0.0000
0.5000 0.0000 0.0000
```

* SG: P4/mmm, No. 123
* calculated total energy: -22.30 eV per cell